w | Y4HoCd | PBE | relaxed

Summary:
- Crystal system: monoclinic

Lattice parameters (Å, degrees): 8.313 8.313 6.339 100.01 100.01 116.42
Sites, in units of the cell vectors:
Y 0.092 0.711 0.956
Y 0.166 0.402 0.624
Y 0.289 0.908 0.544
Y 0.402 0.166 0.124
Y 0.598 0.834 0.876
Y 0.711 0.092 0.456
Y 0.834 0.598 0.376
Y 0.908 0.289 0.044
Ho 0.408 0.592 0.250
Ho 0.592 0.408 0.750
Cd 0.000 0.000 0.250
Cd 0.000 0.000 0.750

x | Y4HoCd | PBE | relaxed

Summary:
- Crystal system: tetragonal

Lattice parameters (Å, degrees): 3.582 3.582 14.167 90.00 90.00 90.00
Sites, in units of the cell vectors:
Y 0.000 0.000 0.145
Y 0.000 0.000 0.855
Y 0.500 0.500 0.325
Y 0.500 0.500 0.675
Ho 0.000 0.000 0.500
Cd 0.500 0.500 0.000

Of them, the most stable is x and the least stable is w.

w | Y4Ho5Cd | PBE | relaxed

Summary:
- Crystal system: tetragonal

Lattice parameters (Å, degrees): 3.556 3.556 24.175 90.00 90.00 90.00
Sites, in units of the cell vectors:
Y 0.000 0.000 0.104
Y 0.000 0.000 0.311
Y 0.000 0.000 0.689
Y 0.000 0.000 0.896
Ho 0.500 0.500 0.000
Ho 0.500 0.500 0.208
Ho 0.500 0.500 0.415
Ho 0.500 0.500 0.585
Ho 0.500 0.500 0.792
Cd 0.000 0.000 0.500

x | Y4Ho5Cd | PBE | relaxed

Summary:
- Crystal system: tetragonal

Lattice parameters (Å, degrees): 8.008 8.008 8.008 97.32 97.32 138.19
Sites, in units of the cell vectors:
Y 0.000 0.319 0.319
Y 0.000 0.681 0.681
Y 0.319 0.000 0.319
Y 0.681 0.000 0.681
Ho 0.324 0.324 0.631
Ho 0.324 0.692 0.000
Ho 0.692 0.324 0.000
Ho 0.692 0.692 0.369
Ho 0.799 0.799 0.000
Cd 0.279 0.279 0.000

Of them, the most stable is w and the least stable is x.

w | YHoZnCd | PBE | relaxed

Summary:
- Crystal system: tetragonal

Lattice parameters (Å, degrees): 3.599 3.599 7.524 90.00 90.00 90.00
Sites, in units of the cell vectors:
Y 0.000 0.000 0.000
Ho 0.000 0.000 0.462
Zn 0.500 0.500 0.235
Cd 0.500 0.500 0.728

x | YHoZnCd | PBE | relaxed

Summary:
- Crystal system: cubic

Lattice parameters (Å, degrees): 5.177 5.177 5.177 60.00 60.00 60.00
Sites, in units of the cell vectors:
Y 0.000 0.000 0.000
Ho 0.500 0.500 0.500
Zn 0.250 0.250 0.250
Cd 0.750 0.750 0.750

Of them, the most stable is w and the least stable is x.